# BaSc2Cr

An optimized crystal structure of BaSc2Cr (PBE, Alexandria).

The structure in CIF format:
```
data_BaSc2Cr
_symmetry_space_group_name_H-M 'C 1 2/m 1'
_symmetry_Int_Tables_number 12
_cell_length_a 8.388
_cell_length_b 3.323
_cell_length_c 8.280
_cell_angle_alpha 90.00
_cell_angle_beta 94.55
_cell_angle_gamma 90.00
loop_
_symmetry_equiv_pos_as_xyz
'x,y,z'
'-x,-y,-z'
'-x,y,-z'
'x,-y,z'
'x+1/2,y+1/2,z'
'-x+1/2,-y+1/2,-z'
'-x+1/2,y+1/2,-z'
'x+1/2,-y+1/2,z'
loop_
_atom_site_label
_atom_site_type_symbol
_atom_site_fract_x
_atom_site_fract_y
_atom_site_fract_z
_atom_site_occupancy
Ba1 Ba 0.000 0.000 0.000 1
Sc1 Sc 0.230 0.000 0.659 1
Cr1 Cr 0.000 0.500 0.500 1
```

## Properties
**ΔH_f (0 K)**: 529.8 meV/atom
**Calculated total energy**: -44.180 eV for the cell shown
**Distance to the lowest polymorph of the same formula**: 198 meV per atom

***

# BaSc2Cr

An optimized crystal structure of BaSc2Cr (PBE, Alexandria).

The structure in CIF format:
```
data_BaSc2Cr
_symmetry_space_group_name_H-M 'C 1 m 1'
_symmetry_Int_Tables_number 8
_cell_length_a 9.926
_cell_length_b 3.375
_cell_length_c 7.162
_cell_angle_alpha 90.00
_cell_angle_beta 98.41
_cell_angle_gamma 90.00
loop_
_symmetry_equiv_pos_as_xyz
'x,y,z'
'x,-y,z'
'x+1/2,y+1/2,z'
'x+1/2,-y+1/2,z'
loop_
_atom_site_label
_atom_site_type_symbol
_atom_site_fract_x
_atom_site_fract_y
_atom_site_fract_z
_atom_site_occupancy
Ba1 Ba 0.000 0.000 0.000 1
Sc1 Sc 0.033 0.500 0.549 1
Sc2 Sc 0.280 0.500 0.347 1
Cr1 Cr 0.270 0.000 0.659 1
```

## Properties
**ΔH_f (0 K)**: 553.6 meV/atom
**Calculated total energy**: -43.989 eV for the cell shown
**Distance to the lowest polymorph of the same formula**: 222 meV per atom

***

# BaSc2Cr

An optimized crystal structure of BaSc2Cr (PBE, Alexandria).

The structure in CIF format:
```
data_BaSc2Cr
_symmetry_space_group_name_H-M 'R -3 m'
_symmetry_Int_Tables_number 166
_symmetry_space_group_name_Hall '-R 3 2"'
_cell_length_a 3.4456
_cell_length_b 3.4456
_cell_length_c 31.4850
_cell_angle_alpha 90.00
_cell_angle_beta 90.00
_cell_angle_gamma 120.00
loop_
_atom_site_label
_atom_site_type_symbol
_atom_site_fract_x
_atom_site_fract_y
_atom_site_fract_z
_atom_site_occupancy
Ba1 Ba 0.0000 0.0000 0.0000 1
Sc1 Sc 0.0000 0.0000 0.2306 1
Cr1 Cr 0.0000 0.0000 0.5000 1
```

## Properties
**ΔH_f (0 K)**: 566.9 meV/atom
**Calculated total energy**: -65.825 eV for the cell shown
**Distance to the lowest polymorph of the same formula**: 235 meV per atom

***

# BaSc2Cr

An optimized crystal structure of BaSc2Cr (PBE, Alexandria).

The structure in CIF format:
```
data_BaSc2Cr
_symmetry_space_group_name_H-M 'F m -3 m'
_symmetry_Int_Tables_number 225
_symmetry_space_group_name_Hall '-F 4 2 3'
_cell_length_a 7.513
_cell_length_b 7.513
_cell_length_c 7.513
_cell_angle_alpha 90.00
_cell_angle_beta 90.00
_cell_angle_gamma 90.00
loop_
_atom_site_label
_atom_site_type_symbol
_atom_site_fract_x
_atom_site_fract_y
_atom_site_fract_z
_atom_site_occupancy
Ba1 Ba 0.000 0.000 0.000 1
Sc1 Sc 0.250 0.250 0.250 1
Cr1 Cr 0.000 0.000 0.500 1
```

## Properties
**ΔH_f (0 K)**: 603.1 meV/atom
**Calculated total energy**: -87.187 eV for the cell shown
**Distance to the lowest polymorph of the same formula**: 271 meV per atom